A relaxed structure of KVCrO5. Source: Alexandria via LeMat-Bulk, functional PBE with a Hubbard U.

Geometry as CIF:
```
data_KVCrO5
_symmetry_space_group_name_H-M 'C 1 2/c 1'
_symmetry_Int_Tables_number 15
_symmetry_space_group_name_Hall '-C 2yc'
_cell_length_a 7.012
_cell_length_b 9.341
_cell_length_c 7.224
_cell_angle_alpha 90.00
_cell_angle_beta 113.80
_cell_angle_gamma 90.00
loop_
_atom_site_label
_atom_site_type_symbol
_atom_site_fract_x
_atom_site_fract_y
_atom_site_fract_z
_atom_site_occupancy
K1 K 0.000 0.170 0.250 1
V1 V 0.000 0.188 0.750 1
Cr1 Cr 0.000 0.500 0.000 1
O1 O 0.000 0.458 0.250 1
O2 O 0.085 0.300 0.605 1
O3 O 0.203 0.076 0.901 1
```

Results
For the total energy, the calculation gives -6.903 eV/atom.